Ga3TcW | meta-GGA SCAN | single point on PBEsol structure

Properties
formation energy	595	kJ/mol of formula units
symmetry	No. 221
total energy	-29.525	eV/atom

Cell: 4.646 4.646 4.646 Å, 90.00 90.00 90.00°
Fractional coordinates of all 5 atoms:
1 Ga 0.000 0.000 0.500
2 Ga 0.000 0.500 0.000
3 Ga 0.500 0.000 0.000
4 Tc 0.000 0.000 0.000
5 W 0.500 0.500 0.500